#a
Here is an optimized crystal structure of BeCoF from the Alexandria database. Energies are from PBE with a Hubbard U.

Lattice parameters (Å, degrees): 4.3894 2.5345 10.8230 90.00 97.98 90.00
With the nearest neighbours (Å) after each atom.
Space group C2/m (No. 12)
Inequivalent atoms, fractional coordinates:
Be: 0.0935 0.0000 0.2704  3 F 1.73
Co: 0.1350 0.5000 0.9054  3 Be 2.38-2.39, 9 Co 2.50-2.53
F: 0.2120 0.0000 0.6438  3 Be 1.73



#b
Here is an optimized crystal structure of BeCoF from the Alexandria database. Energies are from PBE with a Hubbard U.

Lattice parameters (Å, degrees): 2.5229 2.5230 6.8576 80.84 89.19 60.01
With the nearest neighbours (Å) after each atom.
Space group P1 (No. 1)
Inequivalent atoms, fractional coordinates:
Be: 0.0000 0.0000 0.0000  3 F 1.71
Co: 0.4012 0.1789 0.2826  3 Be 2.40, 6 Co 2.52
F: 0.6355 0.7395 0.8675  3 Be 1.71



Stability, lowest: #b